## LiPtF6 (PBE-GGA)

Data for crystalline LiPtF6 at its relaxed geometry.

Unit cell a=5.4632 b=5.4632 c=5.4632 alpha=56.09 beta=56.09 gamma=56.09
Closest atoms and distances in Å follow each position.
Positions (direct):
1 F 0.6282 0.8896 0.2392  1 Pt 1.93, 1 Li 2.05
2 F 0.3718 0.1104 0.7608  1 Pt 1.93, 1 Li 2.05
3 F 0.1104 0.7608 0.3718  1 Pt 1.93, 1 Li 2.05
4 F 0.2392 0.6282 0.8896  1 Pt 1.93, 1 Li 2.05
5 F 0.8896 0.2392 0.6282  1 Pt 1.93, 1 Li 2.05
6 F 0.7608 0.3718 0.1104  1 Pt 1.93, 1 Li 2.05
7 Li 0.5000 0.5000 0.5000  6 F 2.05
8 Pt 0.0000 0.0000 0.0000  6 F 1.93

Calculated values
**Fermi-level density of states**: 7.85 states/eV/cell
**Polymorph energy (0 for the lowest one)**: 0 meV per atom
**Uncorrected formation energy**: -1.706 eV per atom
**Crystal system**: trigonal
**Electronic total energy**: -4.1037 eV/atom


## LiPtF (PBE-GGA)

Data for crystalline LiPtF at its relaxed geometry.

Unit cell a=10.4217 b=10.4217 c=10.4217 alpha=15.37 beta=15.37 gamma=15.37
Closest atoms and distances in Å follow each position.
Positions (direct):
1 F 0.5394 0.5394 0.5394  3 Li 1.89
2 F 0.9502 0.9502 0.9502  3 Li 1.84
3 Pt 0.0218 0.0218 0.0218  1 F 2.21
4 Pt 0.4307 0.4307 0.4307  9 Pt 2.79-2.83, 3 Li 2.86
5 Li 0.2547 0.2547 0.2547  3 F 1.84
6 Li 0.1739 0.1739 0.1739  3 F 1.89

Calculated values
**Fermi-level density of states**: 2.75 states/eV/cell
**Polymorph energy (0 for the lowest one)**: 26 meV per atom
**Uncorrected formation energy**: -1.678 eV per atom
**Crystal system**: trigonal
**Electronic total energy**: -4.9529 eV/atom


## LiPtF (PBE-GGA)

Data for crystalline LiPtF at its relaxed geometry.

Unit cell a=3.5643 b=3.5643 c=6.5330 alpha=90.00 beta=90.00 gamma=90.00
Closest atoms and distances in Å follow each position.
Positions (direct):
1 F 0.0000 0.0000 0.5000  4 Li 1.85
2 F 0.5000 0.5000 0.5000  4 Li 1.85
3 Li 0.0000 0.5000 0.4267  4 F 1.85
4 Li 0.5000 0.0000 0.5733  4 F 1.85
5 Pt 0.5000 0.0000 0.0535  4 Pt 2.62
6 Pt 0.0000 0.5000 0.9465  4 Pt 2.62

Calculated values
**Fermi-level density of states**: 2.82 states/eV/cell
**Polymorph energy (0 for the lowest one)**: 250 meV per atom
**Uncorrected formation energy**: -1.453 eV per atom
**Crystal system**: tetragonal
**Electronic total energy**: -4.7285 eV/atom


## LiPtF (PBE-GGA)

Data for crystalline LiPtF at its relaxed geometry.

Unit cell a=2.7853 b=5.6071 c=5.9759 alpha=98.10 beta=76.64 gamma=75.75
Closest atoms and distances in Å follow each position.
Positions (direct):
1 Pt 0.7445 0.6268 0.8842  1 F 2.17
2 Pt 0.2555 0.3732 0.1158  1 F 2.17
3 Li 0.9119 0.8761 0.2982  3 F 1.90-1.98
4 Li 0.0881 0.1239 0.7018  3 F 1.90-1.98
5 F 0.7395 0.8800 0.6402  3 Li 1.90-1.98
6 F 0.2605 0.1200 0.3598  3 Li 1.90-1.98

Calculated values
**Fermi-level density of states**: 2.83 states/eV/cell
**Polymorph energy (0 for the lowest one)**: 345 meV per atom
**Uncorrected formation energy**: -1.358 eV per atom
**Crystal system**: triclinic
**Electronic total energy**: -4.6334 eV/atom


## LiPtF6 (PBE-GGA)

Data for crystalline LiPtF6 at its relaxed geometry.

Unit cell a=5.0431 b=5.0431 c=9.3805 alpha=90.00 beta=90.00 gamma=120.00
Closest atoms and distances in Å follow each position.
Positions (direct):
1 F 0.9808 0.3014 0.6197  1 Pt 1.93, 1 Li 2.07
2 F 0.0192 0.3206 0.1197  1 Pt 1.93, 1 Li 2.07
3 F 0.3206 0.0192 0.6197  1 Pt 1.93, 1 Li 2.07
4 F 0.0192 0.6986 0.3803  1 Pt 1.93, 1 Li 2.07
5 F 0.3014 0.9808 0.1197  1 Pt 1.93, 1 Li 2.07
6 F 0.9808 0.6794 0.8803  1 Pt 1.93, 1 Li 2.07
7 F 0.6986 0.6794 0.6197  1 Pt 1.93, 1 Li 2.07
8 F 0.6986 0.0192 0.8803  1 Pt 1.93, 1 Li 2.07
9 F 0.6794 0.6986 0.1197  1 Pt 1.93, 1 Li 2.07
10 F 0.6794 0.9808 0.3803  1 Pt 1.93, 1 Li 2.07
11 F 0.3014 0.3206 0.3803  1 Pt 1.93, 1 Li 2.07
12 F 0.3206 0.3014 0.8803  1 Pt 1.93, 1 Li 2.07
13 Pt 0.0000 0.0000 0.5000  6 F 1.93
14 Pt 0.0000 0.0000 0.0000  6 F 1.93
15 Li 0.3333 0.6667 0.2500  6 F 2.07
16 Li 0.6667 0.3333 0.7500  6 F 2.07

Calculated values
**Fermi-level density of states**: 15.17 states/eV/cell
**Polymorph energy (0 for the lowest one)**: 6 meV per atom
**Uncorrected formation energy**: -1.699 eV per atom
**Crystal system**: trigonal
**Electronic total energy**: -4.0973 eV/atom


## LiPtF2 (PBE-GGA)

Data for crystalline LiPtF2 at its relaxed geometry.

Unit cell a=4.1059 b=4.1059 c=4.1059 alpha=60.00 beta=60.00 gamma=60.00
Closest atoms and distances in Å follow each position.
Positions (direct):
1 F 0.2500 0.2500 0.2500  4 Li 2.51, 4 Pt 2.51
2 F 0.7500 0.7500 0.7500  4 Li 2.51, 4 Pt 2.51
3 Pt 0.5000 0.5000 0.5000  8 F 2.51
4 Li 0.0000 0.0000 0.0000  8 F 2.51

Calculated values
**Fermi-level density of states**: 4.75 states/eV/cell
**Polymorph energy (0 for the lowest one)**: 1006 meV per atom
**Uncorrected formation energy**: -0.847 eV per atom
**Crystal system**: cubic
**Electronic total energy**: -3.7716 eV/atom